Compound: HfAgH2
Source: Alexandria via LeMat-Bulk
Functional: PBE-GGA
Structure: relaxed

abc: 5.906 5.906 5.906
angles: 136.48 136.48 63.24
Positions (direct):
Hf 0.000 0.000 0.000
Hf 0.750 0.250 0.500
Ag 0.250 0.750 0.500
Ag 0.500 0.500 0.000
H 0.082 0.625 0.957
H 0.375 0.332 0.457
H 0.668 0.125 0.043
H 0.875 0.918 0.543

Values from the calculation:
Size of the total moment, μB/f.u.: 0.00
DOS(E_F), states/eV per atom: 0.251
Energy above the most stable polymorph in this dataset, kJ/mol of atoms: 0.00